Computed, not measured: a relaxed NaErMo2O8 crystal at the PBE with a Hubbard U level of DFT.

Summary:
The density of states at the Fermi level comes out at 0.0 states/eV/cell. Its energy above the most stable polymorph in this dataset is 20 meV/atom. The value obtained for the magnetic moment is 0.0 μB/f.u.

a b c (Å): 7.3859 7.3859 6.5289
angles (deg): 90.00 90.00 90.00
Last column: nearest neighbours and their distance in Å.
Space group I-4m2 (No. 119)
Unique sites:
Na 0.0000 0.0000 0.0000 x2  4 O 2.38
Er 0.0000 0.5000 0.7500 x2  8 O 2.31-2.49
Mo 0.0000 0.0000 0.5000 x2  4 O 1.80
Mo 0.0000 0.5000 0.2500 x2  4 O 1.80
O 0.0000 0.1983 0.6590 x8  1 Mo 1.80
O 0.0000 0.3159 0.0700 x8  1 Mo 1.80